The following is a PBE+U calculation of a geometry-optimized AcTl2V2O7 structure, from Alexandria.

DOS(E_F): 0.211 states/eV/atom
Space group: No. 12
Calculated total energy: -6.848 eV per atom

Cell and atoms, written as extended XYZ:
```
12
Lattice="-0.642 1.446 -3.573 2.156 -2.867 -1.548 -8.890 -7.443 -3.566" Properties=species:S:1:pos:R:3 pbc="T T T"
Ac 0.000 0.000 0.000
Tl -2.046 -3.903 -5.487
Tl -5.330 -4.961 -3.201
V -6.405 -6.948 -5.950
V -0.971 -1.915 -2.738
O 0.757 -0.711 -2.561
O -2.392 -2.905 -2.883
O -4.984 -5.959 -5.805
O -1.095 -1.054 -4.503
O 0.305 -3.211 -3.491
O -7.681 -5.653 -5.197
O -6.281 -7.810 -4.184
```